The following is a PBEsol calculation of BaYIn2 after structural relaxation, from the Alexandria database.

a = 3.927 Å, b = 3.886 Å, c = 7.977 Å
α = 90.00°, β = 90.00°, γ = 90.00°
Positions (direct):
Y1 0.500 0.500 0.500
Ba1 0.500 0.500 0.000
In1 0.000 0.000 0.295
In2 0.000 0.000 0.705

Values from the calculation:
energy of formation	-0.485	eV/atom
Fermi-level density of states	2.72	states/eV per cell